The following is a DFT calculation (GGA-PBE) of an optimized crystal structure of Ti2Se2O.

Structure (POSCAR):
```
Ti2Se2O
1.0
-3.261 4.849 2.575
3.261 -4.849 2.575
3.261 4.849 -2.575
Ti Se O
4 4 2
Direct
0.087 0.211 0.298
0.413 0.711 0.125
0.587 0.289 0.875
0.913 0.789 0.702
0.152 0.622 0.775
0.348 0.122 0.470
0.652 0.878 0.530
0.848 0.378 0.225
0.250 0.250 0.000
0.750 0.750 0.000
```

Results
- V (Å³/cell) = 162.9
- total magnetic moment (μB per cell) = 2.9
- final energy (eV/atom) = -7.11
- relative energy among the computed polymorphs (meV/atom) = 0
- formation energy without anion corrections (eV per atom) = -1.563